! ErNi2Ge4 | Alexandria via LeMat-Bulk | PBE | optimized geometry; values from VASP
&SYSTEM
  ibrav = 0, nat = 28, ntyp = 3
/
ATOMIC_SPECIES
Er 167.26 Er.upf
Ni 58.69 Ni.upf
Ge 72.64 Ge.upf
CELL_PARAMETERS angstrom
17.116 0.000 0.000
0.000 4.081 0.000
0.000 0.000 6.599
ATOMIC_POSITIONS angstrom
Er 2.401 1.020 0.079
Er 6.157 3.061 3.379
Er 10.959 1.020 3.220
Er 14.715 3.061 6.519
Ni 0.586 3.061 5.007
Ni 3.611 1.020 3.153
Ni 4.947 3.061 6.452
Ni 7.972 1.020 1.708
Ni 9.144 3.061 4.891
Ni 12.169 1.020 0.147
Ni 13.505 3.061 3.446
Ni 16.530 1.020 1.591
Ge 0.495 3.061 0.919
Ge 1.117 1.020 3.413
Ge 3.042 3.061 4.586
Ge 3.452 3.061 1.860
Ge 5.106 1.020 5.160
Ge 5.516 1.020 1.287
Ge 7.441 3.061 0.113
Ge 8.063 1.020 4.218
Ge 9.053 3.061 2.380
Ge 9.675 1.020 6.485
Ge 11.600 3.061 5.312
Ge 12.010 3.061 1.439
Ge 13.664 1.020 4.738
Ge 14.074 1.020 2.012
Ge 15.999 3.061 3.186
Ge 16.621 1.020 5.680
! VASP energy = -5.362 eV per atom
! Formation energy = -0.4202 eV/atom
! DOS(E_F) = 2.75 states/eV/f.u.

! Er2Ni5Ge3 | Alexandria via LeMat-Bulk | PBE | optimized geometry; values from VASP
&SYSTEM
  ibrav = 0, nat = 10, ntyp = 3
/
ATOMIC_SPECIES
Er 167.26 Er.upf
Ni 58.69 Ni.upf
Ge 72.64 Ge.upf
CELL_PARAMETERS angstrom
3.847 0.000 0.000
0.000 3.847 0.000
0.000 0.000 10.768
ATOMIC_POSITIONS angstrom
Er 0.000 1.923 2.219
Er 1.923 0.000 8.549
Ni 0.000 0.000 0.000
Ni 0.000 0.000 5.384
Ni 0.000 1.923 9.305
Ni 1.923 0.000 1.463
Ni 1.923 1.923 0.000
Ge 0.000 1.923 7.026
Ge 1.923 0.000 3.742
Ge 1.923 1.923 5.384
! VASP energy = -5.581 eV per atom
! E above lowest polymorph = 0.161 eV/atom
! Formation energy = -0.3928 eV/atom
! DOS(E_F) = 3.34 states/eV/f.u.

! ErNiGe2 | Alexandria via LeMat-Bulk | PBE | optimized geometry; values from VASP
&SYSTEM
  ibrav = 0, nat = 16, ntyp = 3
/
ATOMIC_SPECIES
Er 167.26 Er.upf
Ni 58.69 Ni.upf
Ge 72.64 Ge.upf
CELL_PARAMETERS angstrom
-2.075 4.254 7.964
2.075 -4.254 7.964
2.075 4.254 -7.964
ATOMIC_POSITIONS angstrom
Er 0.000 0.000 3.249
Er 0.000 2.043 0.000
Er 0.000 6.465 0.000
Er 0.000 0.000 12.678
Ni 2.075 2.115 -2.356
Ni 2.075 2.115 2.356
Ni 0.000 2.138 5.608
Ni 0.000 2.138 10.320
Ge 2.075 0.000 1.226
Ge 2.075 -1.339 4.843
Ge 0.000 0.000 6.688
Ge 2.075 1.339 4.843
Ge 0.000 2.915 3.121
Ge 0.000 0.000 9.239
Ge 0.000 5.593 3.121
Ge 0.000 4.254 6.737
! VASP energy = -5.588 eV per atom
! Formation energy = -0.6937 eV/atom
! DOS(E_F) = 1.32 states/eV/f.u.

! Er2Ni5Ge3 | Alexandria via LeMat-Bulk | PBE | optimized geometry; values from VASP
&SYSTEM
  ibrav = 0, nat = 20, ntyp = 3
/
ATOMIC_SPECIES
Er 167.26 Er.upf
Ni 58.69 Ni.upf
Ge 72.64 Ge.upf
CELL_PARAMETERS angstrom
2.010 -11.420 0.000
2.010 11.420 0.000
0.000 0.000 6.642
ATOMIC_POSITIONS angstrom
Er 2.010 11.200 3.321
Er 2.010 3.858 3.034
Er 2.010 -3.858 6.355
Er 2.010 -11.200 0.000
Ni 2.010 9.035 4.830
Ni 2.010 6.764 3.944
Ni 2.010 6.304 1.370
Ni 2.010 2.920 0.044
Ni 2.010 1.291 4.623
Ni 2.010 -1.291 1.301
Ni 2.010 -2.920 3.365
Ni 2.010 -6.304 4.691
Ni 2.010 -6.764 0.623
Ni 2.010 -9.035 1.508
Ge 2.010 8.650 1.882
Ge 2.010 5.291 5.936
Ge 2.010 1.203 1.934
Ge 2.010 -1.203 5.256
Ge 2.010 -5.291 2.615
Ge 2.010 -8.650 5.204
! VASP energy = -5.743 eV per atom
! E above lowest polymorph = 0.000 eV/atom
! Formation energy = -0.5541 eV/atom
! DOS(E_F) = 5.95 states/eV/f.u.

! Er2Ni3Ge2 | Alexandria via LeMat-Bulk | PBE | optimized geometry; values from VASP
&SYSTEM
  ibrav = 0, nat = 7, ntyp = 3
/
ATOMIC_SPECIES
Er 167.26 Er.upf
Ni 58.69 Ni.upf
Ge 72.64 Ge.upf
CELL_PARAMETERS angstrom
5.076 -1.907 0.000
5.076 1.907 0.000
-2.755 0.000 5.980
ATOMIC_POSITIONS angstrom
Er 0.627 0.000 1.557
Er 6.771 0.000 4.422
Ni 3.728 0.000 0.415
Ni 3.699 0.000 2.990
Ni 3.670 0.000 5.565
Ge -0.486 0.000 4.370
Ge 7.884 0.000 1.610
! VASP energy = -5.748 eV per atom
! Formation energy = -0.6477 eV/atom
! DOS(E_F) = 4.55 states/eV/f.u.

! Er3NiGe | Alexandria via LeMat-Bulk | PBE | optimized geometry; values from VASP
&SYSTEM
  ibrav = 0, nat = 10, ntyp = 3
/
ATOMIC_SPECIES
Er 167.26 Er.upf
Ni 58.69 Ni.upf
Ge 72.64 Ge.upf
CELL_PARAMETERS angstrom
7.566 -1.888 0.000
7.566 1.888 0.000
-0.384 0.000 8.204
ATOMIC_POSITIONS angstrom
Er 0.666 0.000 1.589
Er 3.460 0.000 6.609
Er 5.808 0.000 3.644
Er 8.941 0.000 4.560
Er 11.288 0.000 1.595
Er 14.082 0.000 6.616
Ni 3.008 0.000 3.562
Ni 11.740 0.000 4.643
Ge 5.876 0.000 0.613
Ge 8.872 0.000 7.591
! VASP energy = -5.310 eV per atom
! Formation energy = -0.4928 eV/atom
! DOS(E_F) = 5.14 states/eV/f.u.

! Er3Ni7Ge4 | Alexandria via LeMat-Bulk | PBE | optimized geometry; values from VASP
&SYSTEM
  ibrav = 0, nat = 14, ntyp = 3
/
ATOMIC_SPECIES
Er 167.26 Er.upf
Ni 58.69 Ni.upf
Ge 72.64 Ge.upf
CELL_PARAMETERS angstrom
7.469 -2.003 0.000
7.469 2.003 0.000
-5.130 0.000 7.131
ATOMIC_POSITIONS angstrom
Er 0.000 0.000 0.000
Er 3.170 0.000 2.224
Er 6.638 0.000 4.907
Ni -2.565 0.000 3.566
Ni -2.462 0.000 6.122
Ni 1.266 0.000 4.792
Ni 3.783 0.000 5.106
Ni 6.025 0.000 2.025
Ni 8.542 0.000 2.339
Ni 12.270 0.000 1.009
Ge -0.251 0.000 2.845
Ge -0.006 0.000 6.892
Ge 9.814 0.000 0.239
Ge 10.058 0.000 4.286
! VASP energy = -5.808 eV per atom
! Formation energy = -0.6201 eV/atom
! DOS(E_F) = 10.37 states/eV/f.u.

! ErNiGe2 | Alexandria via LeMat-Bulk | PBE | optimized geometry; values from VASP
&SYSTEM
  ibrav = 0, nat = 16, ntyp = 3
/
ATOMIC_SPECIES
Er 167.26 Er.upf
Ni 58.69 Ni.upf
Ge 72.64 Ge.upf
CELL_PARAMETERS angstrom
6.781 0.000 0.000
0.000 4.106 0.000
0.000 0.000 10.218
ATOMIC_POSITIONS angstrom
Er 1.232 1.027 1.370
Er 2.158 3.080 6.479
Er 4.623 1.027 3.740
Er 5.548 3.080 8.849
Ni 0.065 3.080 3.690
Ni 3.325 1.027 8.799
Ni 3.455 3.080 1.419
Ni 6.716 1.027 6.529
Ge 0.919 1.027 8.596
Ge 1.078 1.027 4.449
Ge 2.312 3.080 9.558
Ge 2.472 3.080 3.487
Ge 4.309 1.027 6.731
Ge 4.468 1.027 0.660
Ge 5.703 3.080 5.769
Ge 5.862 3.080 1.622
! VASP energy = -5.553 eV per atom
! Formation energy = -0.6585 eV/atom
! DOS(E_F) = 1.49 states/eV/f.u.

Among the records above, which one has the lowest VASP energy?
Er3Ni7Ge4

The highest VASP energy belongs to which entry?
Er3NiGe

Among the records above, which one has the highest VASP energy?
Er3NiGe